Entry 1:
DyCuAg2: relaxed, PBE.

Properties
Density of states at the Fermi level: 5.4 states/eV per cell
Density: 9.16 Mg/m³
DFT total energy: -3.717 eV per atom
Formation enthalpy at 0 K: -0.117 eV per atom

abc: 4.5661 4.5661 13.3104
angles: 90.00 90.00 120.00
Space group R-3m (No. 166, hexagonal axes)
Symmetry-distinct sites (fractional):
Dy (0.0000, 0.0000, 0.0000) x3
Cu (0.0000, 0.0000, 0.5000) x3
Ag (0.0000, 0.0000, 0.2231) x6

Entry 2:
Tm4InGa3: relaxed, PBE.

Properties
Density of states at the Fermi level: 6.2 states/eV per cell
Density: 8.61 Mg/m³
DFT total energy: -4.259 eV per atom
Formation enthalpy at 0 K: -0.546 eV per atom

abc: 4.062 4.362 10.884
angles: 90.00 90.00 90.00
Space group Pmm2 (No. 25)
Symmetry-distinct sites (fractional):
Tm (0.000, 0.000, 0.000) x1
Tm (0.000, 0.500, 0.486) x1
Tm (0.500, 0.000, 0.709) x1
Tm (0.500, 0.500, 0.218) x1
In (0.000, 0.500, 0.775) x1
Ga (0.000, 0.000, 0.277) x1
Ga (0.500, 0.000, 0.431) x1
Ga (0.500, 0.500, 0.945) x1

Entry 3:
PmDy4Cu4: relaxed, PBE.

Properties
Density of states at the Fermi level: 26.5 states/eV per cell
Density: 7.69 Mg/m³
DFT total energy: -4.420 eV per atom
Formation enthalpy at 0 K: -0.026 eV per atom

abc: 8.963 8.963 5.642
angles: 90.00 90.00 90.00
Space group P4_2/n (No. 86, origin choice 2)
Symmetry-distinct sites (fractional):
Pm (0.250, 0.250, 0.250) x2
Dy (0.076, 0.661, 0.151) x8
Cu (0.026, 0.607, 0.636) x8

Entry 4:
NaLiY2: relaxed, PBE.

Properties
Density of states at the Fermi level: 11.8 states/eV per cell
Density: 2.80 Mg/m³
DFT total energy: -3.761 eV per atom
Formation enthalpy at 0 K: 0.279 eV per atom

abc: 3.4089 3.4089 36.7073
angles: 90.00 90.00 120.00
Space group R-3m (No. 166, hexagonal axes)
Symmetry-distinct sites (fractional):
Na (0.0000, 0.0000, 0.0000) x3
Li (0.0000, 0.0000, 0.5000) x3
Y (0.0000, 0.0000, 0.0944) x6

Entry 5:
PmDyHo4: relaxed, PBE.

Properties
Density of states at the Fermi level: 48.2 states/eV per cell
Density: 8.03 Mg/m³
DFT total energy: -4.332 eV per atom
Formation enthalpy at 0 K: 0.279 eV per atom

abc: 9.284 9.284 9.284
angles: 90.00 90.00 90.00
Space group F-43m (No. 216)
Symmetry-distinct sites (fractional):
Pm (0.000, 0.000, 0.000) x4
Dy (0.250, 0.250, 0.250) x4
Ho (0.125, 0.125, 0.625) x16

Entry 6:
Ac2LaNdBi4: relaxed, PBE.

Properties
Density of states at the Fermi level: 0.9 states/eV per cell
Density: 8.51 Mg/m³
DFT total energy: -5.176 eV per atom
Formation enthalpy at 0 K: -0.996 eV per atom

abc: 8.257 4.771 8.265
angles: 90.00 109.43 90.00
Space group P2/m (No. 10)
Symmetry-distinct sites (fractional):
Ac (0.000, 0.000, 0.000) x1
Ac (0.500, 0.500, 0.000) x1
La (0.000, 0.500, 0.500) x1
Nd (0.500, 0.000, 0.500) x1
Bi (0.248, 0.000, 0.738) x2
Bi (0.256, 0.500, 0.263) x2